Entry 1:
A relaxed structure of VSn3Au, computed with PBE.

The calculation puts the density of states at the Fermi level at 4.843 states/eV/cell. Its magnetization is 0.321 μB/atom. The value obtained for the energy of formation is 1.82 eV/f.u. Its raw total energy is -22.6 eV per cell.

The space group is Pm-3m (No. 221) and the conventional cell measures 5.145, 5.145 and 5.145 Å, with angles of 90.00, 90.00 and 90.00 degrees. The asymmetric unit holds V at (0.000, 0.000, 0.000), Sn at (0.000, 0.000, 0.500) and Au at (0.500, 0.500, 0.500).

Entry 2:
A relaxed structure of VSn2Au, computed with PBE.

The calculation puts the density of states at the Fermi level at 19.208 states/eV/cell. Its magnetization is 0.691 μB/atom. The calculation puts the energy above the most stable polymorph in this dataset at 160.5 meV/atom. The value obtained for the energy of formation is 1.28 eV/f.u. Its raw total energy is -76.5 eV per cell.

The space group is I-42d (No. 122) and the conventional cell measures 7.695, 7.695 and 6.059 Å, with angles of 90.00, 90.00 and 90.00 degrees. The asymmetric unit holds V at (0.000, 0.000, 0.000), Sn at (0.242, 0.250, 0.625) and Au at (0.000, 0.000, 0.500).

Entry 3:
A relaxed structure of V2Sn2Au, computed with PBE.

The calculation puts the density of states at the Fermi level at 9.260 states/eV/cell. Its magnetization is 0.001 μB/atom. The calculation puts the energy above the most stable polymorph in this dataset at 113.6 meV/atom. The value obtained for the energy of formation is 1.03 eV/f.u. Its raw total energy is -57.0 eV per cell.

The space group is P4/mbm (No. 127) and the conventional cell measures 7.993, 7.993 and 2.958 Å, with angles of 90.00, 90.00 and 90.00 degrees. The asymmetric unit holds V at (0.106, 0.394, 0.000), Sn at (0.185, 0.685, 0.500) and Au at (0.000, 0.000, 0.500).

Entry 4:
A relaxed structure of VSn2Au, computed with PBE.

The calculation puts the density of states at the Fermi level at 10.836 states/eV/cell. Its magnetization is 0.066 μB/atom. The calculation puts the energy above the most stable polymorph in this dataset at 0.0 meV/atom. The value obtained for the energy of formation is 0.64 eV/f.u. Its raw total energy is -59.3 eV per cell.

The space group is R-3m (No. 166, hexagonal axes) and the conventional cell measures 3.1693, 3.1693 and 29.0557 Å, with angles of 90.00, 90.00 and 120.00 degrees. The asymmetric unit holds V at (0.0000, 0.0000, 0.0000), Sn at (0.0000, 0.0000, 0.4078) and Au at (0.0000, 0.0000, 0.5000).

Entry 5:
A relaxed structure of V3SnAu, computed with PBE.

The calculation puts the density of states at the Fermi level at 10.553 states/eV/cell. Its magnetization is 1.063 μB/atom. The calculation puts the energy above the most stable polymorph in this dataset at 0.0 meV/atom. The value obtained for the energy of formation is 5.94 eV/f.u. Its raw total energy is -28.7 eV per cell.

The space group is Pm-3m (No. 221) and the conventional cell measures 4.825, 4.825 and 4.825 Å, with angles of 90.00, 90.00 and 90.00 degrees. The asymmetric unit holds V at (0.000, 0.000, 0.500), Sn at (0.500, 0.500, 0.500) and Au at (0.000, 0.000, 0.000).

Entry 6:
A relaxed structure of V2Sn2Au, computed with PBE.

The calculation puts the density of states at the Fermi level at 8.442 states/eV/cell. Its magnetization is 0.000 μB/atom. The calculation puts the energy above the most stable polymorph in this dataset at 310.8 meV/atom. The value obtained for the energy of formation is 2.01 eV/f.u. Its raw total energy is -55.0 eV per cell.

The space group is I4/mmm (No. 139) and the conventional cell measures 4.051, 4.051 and 12.161 Å, with angles of 90.00, 90.00 and 90.00 degrees. The asymmetric unit holds V at (0.000, 0.000, 0.082), Sn at (0.000, 0.500, 0.250) and Au at (0.000, 0.000, 0.500).